## Ba3Hg2Pb7 (PBE)

Data for crystalline Ba3Hg2Pb7 at its relaxed geometry.

Output
Mass density: 8.97 Mg/m³
Crystal system: trigonal
Formation energy: -4.24 eV per formula unit

```
Ba3Hg2Pb7
1.0
-4.437 -5.053 0.420
-1.577 -2.607 6.009
-9.940 4.496 3.118
Ba Hg Pb
3 2 7
Direct
0.000 0.000 0.000 Ba
0.140 0.140 0.580 Ba
0.860 0.860 0.420 Ba
0.334 0.334 0.997 Hg
0.666 0.666 0.003 Hg
0.500 0.500 0.500 Pb
0.079 0.582 0.757 Pb
0.582 0.582 0.757 Pb
0.582 0.079 0.757 Pb
0.921 0.418 0.243 Pb
0.418 0.921 0.243 Pb
0.418 0.418 0.243 Pb
```


## Ba4HgPb3 (PBE)

Data for crystalline Ba4HgPb3 at its relaxed geometry.

Output
Mass density: 7.16 Mg/m³
Crystal system: tetragonal
Formation energy: -4.24 eV per formula unit

```
Ba4HgPb3
1.0
5.869 0.000 -1.584
-0.422 5.860 -1.563
-0.561 -0.643 9.584
Pb Ba Hg
3 4 1
Direct
0.000 0.500 0.000 Pb
0.750 0.251 0.501 Pb
0.250 0.749 0.499 Pb
0.376 0.375 0.752 Ba
0.624 0.625 0.248 Ba
0.124 0.124 0.248 Ba
0.876 0.876 0.752 Ba
0.500 0.000 0.000 Hg
```


## BaHg4Pb (PBE)

Data for crystalline BaHg4Pb at its relaxed geometry.

Output
Mass density: 9.76 Mg/m³
Crystal system: orthorhombic
ΔE to the lowest computed polymorph: 0.32 eV/f.u.
Formation energy: -1.34 eV per formula unit

```
BaHg4Pb
1.0
-0.859 -5.169 -0.187
4.088 -0.931 6.967
-7.337 3.704 4.800
Ba Hg Pb
2 8 2
Direct
0.383 0.750 0.767 Ba
0.617 0.250 0.233 Ba
0.230 0.422 0.461 Hg
0.770 0.578 0.539 Hg
0.230 0.078 0.461 Hg
0.770 0.922 0.539 Hg
0.569 0.750 0.137 Hg
0.431 0.250 0.863 Hg
0.000 0.500 0.000 Hg
0.000 0.000 0.000 Hg
0.155 0.750 0.309 Pb
0.845 0.250 0.691 Pb
```


## Ba2HgPb (PBE)

Data for crystalline Ba2HgPb at its relaxed geometry.

Output
Mass density: 5.85 Mg/m³
Crystal system: trigonal
ΔE to the lowest computed polymorph: 0.98 eV/f.u.
Formation energy: -1.40 eV per formula unit

```
Ba2HgPb
1.0
-8.124 4.037 -0.367
-8.821 -0.366 2.118
-6.921 3.681 4.581
Pb Hg Ba
1 1 2
Direct
0.777 0.777 0.777 Pb
0.477 0.477 0.477 Hg
0.035 0.035 0.035 Ba
0.211 0.211 0.211 Ba
```


## Ba3Hg2Pb4 (PBE)

Data for crystalline Ba3Hg2Pb4 at its relaxed geometry.

Output
Mass density: 8.37 Mg/m³
Crystal system: monoclinic
ΔE to the lowest computed polymorph: 0.33 eV/f.u.
Formation energy: -3.90 eV per formula unit

```
Ba3Hg2Pb4
1.0
5.007 0.000 1.336
2.216 6.544 1.744
0.056 -0.652 9.844
Ba Hg Pb
3 2 4
Direct
0.314 0.734 0.638 Ba
0.000 0.000 0.000 Ba
0.686 0.266 0.362 Ba
0.409 0.917 0.265 Hg
0.591 0.083 0.735 Hg
0.257 0.403 0.084 Pb
0.743 0.597 0.916 Pb
0.013 0.329 0.644 Pb
0.987 0.671 0.356 Pb
```


## Ba3Hg5Pb6 (PBE)

Data for crystalline Ba3Hg5Pb6 at its relaxed geometry.

Output
Mass density: 9.64 Mg/m³
Crystal system: orthorhombic
Formation energy: -4.75 eV per formula unit

```
Ba3Hg5Pb6
1.0
5.035 0.000 0.000
0.000 11.938 0.000
0.000 0.000 15.242
Ba Hg Pb
6 10 12
Direct
0.000 0.250 0.689 Ba
0.500 0.750 0.189 Ba
0.500 0.750 0.811 Ba
0.000 0.253 0.000 Ba
0.500 0.747 0.500 Ba
0.000 0.250 0.311 Ba
0.000 0.538 0.862 Hg
0.000 0.866 0.651 Hg
0.000 0.762 0.000 Hg
0.500 0.462 0.638 Hg
0.500 0.238 0.500 Hg
0.000 0.538 0.138 Hg
0.500 0.462 0.362 Hg
0.000 0.866 0.349 Hg
0.500 0.134 0.849 Hg
0.500 0.134 0.151 Hg
0.000 0.980 0.842 Pb
0.500 0.020 0.658 Pb
0.500 0.386 0.835 Pb
0.500 0.556 0.000 Pb
0.000 0.444 0.500 Pb
0.000 0.614 0.665 Pb
0.000 0.614 0.335 Pb
0.500 0.953 0.000 Pb
0.000 0.980 0.158 Pb
0.500 0.386 0.165 Pb
0.000 0.047 0.500 Pb
0.500 0.020 0.342 Pb
```


## Ba2Hg6Pb3 (PBE)

Data for crystalline Ba2Hg6Pb3 at its relaxed geometry.

Output
Mass density: 9.83 Mg/m³
Crystal system: orthorhombic
Formation energy: -2.45 eV per formula unit

```
Ba2Hg6Pb3
1.0
-2.942 0.248 -3.299
-6.998 -0.658 6.193
-2.991 8.247 3.287
Ba Hg Pb
2 6 3
Direct
0.000 0.286 0.714 Ba
0.000 0.714 0.286 Ba
0.500 0.388 0.388 Hg
0.500 0.612 0.612 Hg
0.500 0.970 0.358 Hg
0.500 0.030 0.642 Hg
0.500 0.358 0.970 Hg
0.500 0.642 0.030 Hg
0.000 0.244 0.244 Pb
0.000 0.756 0.756 Pb
0.500 0.000 0.000 Pb
```


## BaHg12Pb7 (PBE)

Data for crystalline BaHg12Pb7 at its relaxed geometry.

Output
Mass density: 9.49 Mg/m³
Crystal system: cubic
Formation energy: 2.56 eV per formula unit

```
BaHg12Pb7
1.0
-8.830 -3.311 2.201
5.319 -7.199 -3.696
4.267 3.383 8.008
Ba Hg Pb
1 12 7
Direct
0.000 0.000 0.000 Ba
0.345 0.228 0.573 Hg
0.345 0.772 0.118 Hg
0.655 0.772 0.427 Hg
0.655 0.228 0.882 Hg
0.573 0.345 0.228 Hg
0.882 0.655 0.228 Hg
0.427 0.655 0.772 Hg
0.118 0.345 0.772 Hg
0.772 0.118 0.345 Hg
0.228 0.882 0.655 Hg
0.228 0.573 0.345 Hg
0.772 0.427 0.655 Hg
0.500 0.000 0.500 Pb
0.500 0.500 0.000 Pb
0.000 0.500 0.500 Pb
0.000 0.000 0.500 Pb
0.500 0.000 0.000 Pb
0.500 0.500 0.500 Pb
0.000 0.500 0.000 Pb
```


## Ba5Hg2Pb (PBE)

Data for crystalline Ba5Hg2Pb at its relaxed geometry.

Output
Mass density: 6.20 Mg/m³
Crystal system: tetragonal
Formation energy: -3.37 eV per formula unit

```
Ba5Hg2Pb
1.0
-4.683 -1.430 7.949
-1.863 -8.750 -2.671
9.975 2.595 0.860
Ba Hg Pb
10 4 2
Direct
0.522 0.687 0.709 Ba
0.813 0.978 0.291 Ba
0.000 0.000 0.000 Ba
0.500 0.500 0.000 Ba
0.187 0.022 0.709 Ba
0.687 0.187 0.709 Ba
0.022 0.522 0.709 Ba
0.313 0.813 0.291 Ba
0.978 0.478 0.291 Ba
0.478 0.313 0.291 Ba
0.126 0.374 0.000 Hg
0.626 0.126 0.000 Hg
0.374 0.874 0.000 Hg
0.874 0.626 0.000 Hg
0.750 0.750 0.500 Pb
0.250 0.250 0.500 Pb
```


## BaHg2Pb2 (PBE)

Data for crystalline BaHg2Pb2 at its relaxed geometry.

Output
Mass density: 9.39 Mg/m³
Crystal system: tetragonal
Formation energy: -1.40 eV per formula unit

```
BaHg2Pb2
1.0
-1.219 -3.963 3.121
3.083 -3.127 -2.765
5.744 -2.093 3.901
Pb Hg Ba
2 2 1
Direct
0.379 0.379 0.242 Pb
0.621 0.621 0.758 Pb
0.750 0.250 0.500 Hg
0.250 0.750 0.500 Hg
0.000 0.000 0.000 Ba
```


## Ba2Hg5Pb2 (PBE)

Data for crystalline Ba2Hg5Pb2 at its relaxed geometry.

Output
Mass density: 9.36 Mg/m³
Crystal system: tetragonal
Formation energy: -2.62 eV per formula unit

```
Ba2Hg5Pb2
1.0
-3.425 3.244 1.654
-2.911 -3.803 1.431
5.257 0.040 10.802
Ba Hg Pb
2 5 2
Direct
0.000 0.000 0.000 Ba
0.000 0.000 0.500 Ba
0.500 0.000 0.291 Hg
0.500 0.000 0.709 Hg
0.000 0.500 0.291 Hg
0.000 0.500 0.709 Hg
0.500 0.500 0.500 Hg
0.500 0.500 0.125 Pb
0.500 0.500 0.875 Pb
```


## Ba7Hg2Pb2 (PBE)

Data for crystalline Ba7Hg2Pb2 at its relaxed geometry.

Output
Mass density: 5.65 Mg/m³
Crystal system: orthorhombic
Formation energy: -3.14 eV per formula unit

```
Ba7Hg2Pb2
1.0
7.953 -0.003 -1.059
0.004 8.568 0.004
-1.552 -0.002 7.871
Ba Hg Pb
7 2 2
Direct
0.000 0.276 0.500 Ba
0.500 0.724 0.000 Ba
0.000 0.724 0.500 Ba
0.500 0.276 0.000 Ba
0.000 0.000 0.000 Ba
0.500 0.742 0.500 Ba
0.500 0.258 0.500 Ba
0.710 0.000 0.290 Hg
0.290 0.000 0.710 Hg
0.831 0.500 0.831 Pb
0.169 0.500 0.169 Pb
```


## Ba5Hg4Pb (PBE)

Data for crystalline Ba5Hg4Pb at its relaxed geometry.

Output
Mass density: 7.45 Mg/m³
Crystal system: tetragonal
Formation energy: -5.20 eV per formula unit

```
Ba5Hg4Pb
1.0
-0.779 -2.972 2.903
2.741 -2.587 -1.914
15.635 7.659 12.037
Ba Hg Pb
5 4 1
Direct
0.500 0.500 0.105 Ba
0.500 0.500 0.302 Ba
0.500 0.500 0.500 Ba
0.500 0.500 0.698 Ba
0.500 0.500 0.895 Ba
0.000 0.000 0.205 Hg
0.000 0.000 0.402 Hg
0.000 0.000 0.598 Hg
0.000 0.000 0.795 Hg
0.000 0.000 0.000 Pb
```


## BaHgPb (PBE)

Data for crystalline BaHgPb at its relaxed geometry.

Output
Mass density: 8.45 Mg/m³
Crystal system: monoclinic
Formation energy: -1.31 eV per formula unit

```
BaHgPb
1.0
7.074 1.396 1.749
4.427 5.690 1.750
1.633 1.004 6.786
Ba Hg Pb
2 2 2
Direct
0.104 0.061 0.472 Ba
0.737 0.694 0.838 Ba
0.793 0.751 0.282 Hg
0.047 0.005 0.029 Hg
0.420 0.378 0.922 Pb
0.420 0.378 0.389 Pb
```


## BaHgPb (PBE)

Data for crystalline BaHgPb at its relaxed geometry.

Output
Mass density: 8.72 Mg/m³
Crystal system: monoclinic
Formation energy: -1.36 eV per formula unit

```
BaHgPb
1.0
-2.953 0.850 -4.490
1.757 -4.694 -2.044
-9.256 -0.240 -0.551
Ba Hg Pb
2 2 2
Direct
0.903 0.245 0.640 Ba
0.830 0.053 0.214 Ba
0.124 0.411 0.919 Hg
0.608 0.887 0.935 Hg
0.459 0.730 0.584 Pb
0.274 0.568 0.269 Pb
```


## BaHgPb4 (PBE)

Data for crystalline BaHgPb4 at its relaxed geometry.

Output
Mass density: 9.40 Mg/m³
Crystal system: cubic
ΔE to the lowest computed polymorph: 0.00 eV/f.u.
Formation energy: -1.25 eV per formula unit

```
BaHgPb4
1.0
6.630 0.000 0.000
3.315 5.741 0.000
3.315 1.914 5.413
Ba Hg Pb
1 1 4
Direct
0.250 0.250 0.250 Ba
0.000 0.000 0.000 Hg
0.127 0.624 0.624 Pb
0.624 0.624 0.624 Pb
0.624 0.127 0.624 Pb
0.624 0.624 0.127 Pb
```


## BaHgPb (PBE)

Data for crystalline BaHgPb at its relaxed geometry.

Output
Mass density: 8.63 Mg/m³
Crystal system: orthorhombic
Formation energy: -1.42 eV per formula unit

```
BaHgPb
1.0
6.821 -0.001 0.000
0.001 6.594 0.061
-0.001 -4.703 4.621
Pb Ba Hg
2 2 2
Direct
0.190 0.048 0.927 Pb
0.690 0.048 0.927 Pb
0.440 0.358 0.618 Ba
0.940 0.739 0.236 Ba
0.940 0.436 0.539 Hg
0.440 0.661 0.315 Hg
```


## BaHg6Pb5 (PBE)

Data for crystalline BaHg6Pb5 at its relaxed geometry.

Output
Mass density: 10.83 Mg/m³
Crystal system: monoclinic
Formation energy: -1.17 eV per formula unit

```
BaHg6Pb5
1.0
-0.603 -2.478 5.872
-6.005 -4.296 -1.692
4.595 -5.886 -1.274
Pb Ba Hg
5 1 6
Direct
0.500 0.190 0.810 Pb
0.000 0.350 0.650 Pb
0.500 0.500 0.500 Pb
0.000 0.650 0.350 Pb
0.500 0.810 0.190 Pb
0.000 0.000 0.000 Ba
0.760 0.067 0.431 Hg
0.240 0.569 0.933 Hg
0.320 0.239 0.239 Hg
0.680 0.761 0.761 Hg
0.760 0.431 0.067 Hg
0.240 0.933 0.569 Hg
```


## Ba6HgPb5 (PBE)

Data for crystalline Ba6HgPb5 at its relaxed geometry.

Output
Mass density: 7.16 Mg/m³
Crystal system: monoclinic
Formation energy: -6.17 eV per formula unit

```
Ba6HgPb5
1.0
5.845 -0.035 1.997
0.045 8.353 0.015
0.058 -0.018 9.814
Pb Ba Hg
5 6 1
Direct
0.665 0.500 0.667 Pb
0.339 0.000 0.322 Pb
0.000 0.500 0.000 Pb
0.661 0.000 0.678 Pb
0.335 0.500 0.333 Pb
0.833 0.755 0.333 Ba
0.833 0.245 0.333 Ba
0.500 0.250 0.000 Ba
0.500 0.750 0.000 Ba
0.167 0.755 0.667 Ba
0.167 0.245 0.667 Ba
0.000 0.000 0.000 Hg
```


## Ba2Hg2Pb15 (PBE)

Data for crystalline Ba2Hg2Pb15 at its relaxed geometry.

Output
Mass density: 9.68 Mg/m³
Crystal system: trigonal
Formation energy: -1.97 eV per formula unit

```
Ba2Hg2Pb15
1.0
8.720 -0.026 -0.023
1.106 8.650 -0.023
1.106 0.970 8.595
Ba Hg Pb
2 2 15
Direct
0.328 0.328 0.328 Ba
0.672 0.672 0.672 Ba
0.108 0.108 0.108 Hg
0.892 0.892 0.892 Hg
0.500 0.000 0.000 Pb
0.000 0.000 0.500 Pb
0.000 0.500 0.000 Pb
0.000 0.703 0.297 Pb
0.703 0.297 0.000 Pb
0.297 0.000 0.703 Pb
0.297 0.703 0.000 Pb
0.703 0.000 0.297 Pb
0.000 0.297 0.703 Pb
0.158 0.645 0.645 Pb
0.645 0.645 0.158 Pb
0.645 0.158 0.645 Pb
0.842 0.355 0.355 Pb
0.355 0.355 0.842 Pb
0.355 0.842 0.355 Pb
```


## Ba2HgPb3 (PBE)

Data for crystalline Ba2HgPb3 at its relaxed geometry.

Output
Mass density: 7.95 Mg/m³
Crystal system: orthorhombic
ΔE to the lowest computed polymorph: 0.31 eV/f.u.
Formation energy: -2.42 eV per formula unit

```
Ba2HgPb3
1.0
-0.864 5.724 -4.266
-5.796 -2.452 -3.478
-1.944 2.136 10.002
Ba Hg Pb
4 2 6
Direct
0.750 0.250 0.500 Ba
0.751 0.249 0.000 Ba
0.250 0.750 0.500 Ba
0.249 0.751 0.000 Ba
0.665 0.665 0.331 Hg
0.335 0.335 0.669 Hg
0.832 0.832 0.170 Pb
0.662 0.662 0.830 Pb
0.168 0.168 0.830 Pb
0.338 0.338 0.170 Pb
0.167 0.167 0.335 Pb
0.833 0.833 0.665 Pb
```